Record 1
Crystalline CaScCo2 at its relaxed geometry. Source: Alexandria via LeMat-Bulk, functional PBE-GGA.

Fermi-level density of states = 1.03 states/eV/atom
Energy above the lowest structure with this stoichiometry = 43.3 kJ per mole of atoms
Crystal system = tetragonal
DFT total energy = -5.19 eV per atom
Space group = I4_1/amd (141)
Magnetic moment = 1.48 μB per formula unit
ΔH_f (0 K) = 449 meV/atom

a = 4.645 Å, b = 4.645 Å, c = 8.948 Å
α = 74.96°, β = 74.96°, γ = 90.00°
Element x y z (fractional)
Co 0.874 0.625 0.250
Co 0.876 0.125 0.250
Co 0.375 0.124 0.750
Co 0.875 0.126 0.750
Ca 0.500 0.500 0.000
Ca 0.250 0.750 0.500
Sc 0.000 0.000 0.000
Sc 0.750 0.250 0.500

Record 2
Crystalline Ac7La3 at its relaxed geometry. Source: Alexandria via LeMat-Bulk, functional PBE-GGA.

Fermi-level density of states = 2.03 states/eV/atom
Crystal system = monoclinic
DFT total energy = -4.33 eV per atom
Space group = C2/m (12)
Magnetic moment = 0.00 μB per formula unit
ΔH_f (0 K) = 20 meV/atom

a = 5.566 Å, b = 7.825 Å, c = 10.359 Å
α = 101.12°, β = 105.58°, γ = 90.00°
Element x y z (fractional)
Ac 0.599 0.801 0.199
Ac 0.401 0.199 0.801
Ac 0.799 0.897 0.599
Ac 0.398 0.697 0.796
Ac 0.602 0.303 0.204
Ac 0.000 0.500 0.000
Ac 0.201 0.103 0.401
La 0.000 0.000 0.000
La 0.799 0.401 0.599
La 0.201 0.599 0.401

Record 3
Crystalline RbCo2SbRh at its relaxed geometry. Source: Alexandria via LeMat-Bulk, functional PBE-GGA.

Fermi-level density of states = 2.07 states/eV/atom
Crystal system = tetragonal
DFT total energy = -4.44 eV per atom
Formation energy from raw total energies = 894 meV per atom
Space group = P4/mmm (123)
Magnetic moment = 4.43 μB per formula unit

a = 4.931 Å, b = 5.094 Å, c = 4.931 Å
α = 90.00°, β = 90.00°, γ = 90.00°
Element x y z (fractional)
Rh 0.000 0.500 0.000
Co 0.500 0.000 0.000
Co 0.000 0.000 0.500
Sb 0.000 0.000 0.000
Rb 0.500 0.500 0.500

What is the Fermi-level density of states in the third record? 2.07 states/eV/atom